# CaMo2O4 (PBE+U, optimized geometry)
# Space-group type: C2/m, No. 12
# ΔE to the lowest computed polymorph: 0.90 eV/f.u.
data_CaMo2O4
_chemical_formula_sum 'Ca2 Mo4 O8'
_cell_length_a 7.265
_cell_length_b 7.265
_cell_length_c 9.814
_cell_angle_alpha 123.73
_cell_angle_beta 123.73
_cell_angle_gamma 26.48
_space_group_name_H-M_alt 'P 1'
_space_group_IT_number 1
_space_group_name_Hall 'P 1'
loop_
_atom_site_label
_atom_site_type_symbol
_atom_site_fract_x
_atom_site_fract_y
_atom_site_fract_z
Ca1 Ca 0.161 0.161 0.179
Ca2 Ca 0.839 0.839 0.821
Mo1 Mo 0.136 0.136 0.832
Mo2 Mo 0.363 0.363 0.531
Mo3 Mo 0.637 0.637 0.469
Mo4 Mo 0.864 0.864 0.168
O1 O 0.047 0.047 0.300
O2 O 0.257 0.257 0.623
O3 O 0.335 0.335 0.990
O4 O 0.372 0.372 0.311
O5 O 0.628 0.628 0.689
O6 O 0.665 0.665 0.010
O7 O 0.743 0.743 0.377
O8 O 0.953 0.953 0.700